Pm2PbN: optimized geometry, PBE.

The space group is R-3m (No. 166, hexagonal axes) and the conventional cell measures 3.6683, 3.6683 and 24.3416 Å, with angles of 90.00, 90.00 and 120.00 degrees. Symmetry generates all atoms from Pm at (0.0000, 0.0000, 0.2228), Pb at (0.0000, 0.0000, 0.0000) and N at (0.0000, 0.0000, 0.5000).

For the energy above the most stable polymorph in this dataset, the calculation gives 0 meV/atom. Its total moment is 0.00 μB per formula unit. For the density of states at the Fermi level, the calculation gives 1.13 states/eV/f.u. Its uncorrected formation energy is -0.999 eV per atom. For the total energy, the calculation gives -76.59 eV per cell. As for the theoretical density: 9.0 g cm⁻³.